Na2PrYSe4: optimized geometry, GGA-PBE.

a = 7.3324 Å, b = 4.2339 Å, c = 7.4320 Å
α = 90.00°, β = 109.19°, γ = 90.00°
Atoms (fractional coordinates):
Na (0.0000, 0.0000, 0.0000)
Na (0.5000, 0.5000, 0.0000)
Pr (0.0000, 0.5000, 0.5000)
Y (0.5000, 0.0000, 0.5000)
Se (0.2538, 0.0000, 0.7357)
Se (0.2644, 0.5000, 0.2684)
Se (0.7356, 0.5000, 0.7316)
Se (0.7462, 0.0000, 0.2643)

Energy relative to the elements, uncorrected = -1.691 eV/atom
M_tot = 0.0 Bohr magnetons per cell
Space-group type = P2/m, No. 10
Final energy = -5.17 eV/atom

***

Na3Pr2YSe6: optimized geometry, GGA-PBE.

a = 7.3823 Å, b = 7.3823 Å, c = 7.4379 Å
α = 99.53°, β = 99.53°, γ = 120.01°
Atoms (fractional coordinates):
Na (0.0000, 0.0000, 0.0000)
Na (0.3329, 0.6671, 0.0000)
Na (0.6671, 0.3329, 0.0000)
Pr (0.1666, 0.8334, 0.5000)
Pr (0.8334, 0.1666, 0.5000)
Y (0.5000, 0.5000, 0.5000)
Se (0.0974, 0.4216, 0.2647)
Se (0.2542, 0.2542, 0.7342)
Se (0.4216, 0.0974, 0.2647)
Se (0.5784, 0.9026, 0.7353)
Se (0.7458, 0.7458, 0.2658)
Se (0.9026, 0.5784, 0.7353)

Energy relative to the elements, uncorrected = -1.687 eV/atom
M_tot = 0.0 Bohr magnetons per cell
Space-group type = C2/m, No. 12
Final energy = -5.09 eV/atom

***

NaPr3Y2Se6: optimized geometry, GGA-PBE.

a = 9.4032 Å, b = 9.4032 Å, c = 8.4256 Å
α = 103.15°, β = 103.15°, γ = 25.67°
Atoms (fractional coordinates):
Na (0.0000, 0.0000, 0.0000)
Pr (0.0000, 0.0000, 0.5000)
Pr (0.3395, 0.3395, 0.1753)
Pr (0.6605, 0.6605, 0.8247)
Y (0.3351, 0.3351, 0.6619)
Y (0.6649, 0.6649, 0.3381)
Se (0.1680, 0.1680, 0.0932)
Se (0.1705, 0.1705, 0.5761)
Se (0.4944, 0.4944, 0.7545)
Se (0.5056, 0.5056, 0.2455)
Se (0.8295, 0.8295, 0.4239)
Se (0.8320, 0.8320, 0.9068)

Energy relative to the elements, uncorrected = -1.776 eV/atom
M_tot = 0.0 Bohr magnetons per cell
Space-group type = C2/m, No. 12
Final energy = -5.90 eV/atom

***

Na3PrY2Se6: optimized geometry, GGA-PBE.

a = 7.2857 Å, b = 7.2857 Å, c = 7.4244 Å
α = 99.43°, β = 99.43°, γ = 120.01°
Atoms (fractional coordinates):
Na (0.0000, 0.0000, 0.0000)
Na (0.3348, 0.6652, 0.0000)
Na (0.6652, 0.3348, 0.0000)
Pr (0.5000, 0.5000, 0.5000)
Y (0.1669, 0.8331, 0.5000)
Y (0.8331, 0.1669, 0.5000)
Se (0.0798, 0.4224, 0.2679)
Se (0.2349, 0.2349, 0.7328)
Se (0.4224, 0.0798, 0.2679)
Se (0.5776, 0.9202, 0.7321)
Se (0.7651, 0.7651, 0.2672)
Se (0.9202, 0.5776, 0.7321)

Energy relative to the elements, uncorrected = -1.700 eV/atom
M_tot = 0.0 Bohr magnetons per cell
Space-group type = C2/m, No. 12
Final energy = -5.25 eV/atom

***

NaPr2YSe4: optimized geometry, GGA-PBE.

a = 7.2909 Å, b = 4.1912 Å, c = 7.2955 Å
α = 90.00°, β = 109.12°, γ = 90.00°
Atoms (fractional coordinates):
Na (0.0000, 0.0000, 0.0000)
Pr (0.0000, 0.5000, 0.5000)
Pr (0.5000, 0.0000, 0.5000)
Y (0.5000, 0.5000, 0.0000)
Se (0.2518, 0.5000, 0.2416)
Se (0.2563, 0.0000, 0.7638)
Se (0.7437, 0.0000, 0.2362)
Se (0.7482, 0.5000, 0.7584)

Energy relative to the elements, uncorrected = -1.754 eV/atom
M_tot = 0.0 Bohr magnetons per cell
Space-group type = P2/m, No. 10
Final energy = -5.66 eV/atom

***

Na2PrY3Se6: optimized geometry, GGA-PBE.

a = 7.1658 Å, b = 7.1658 Å, c = 7.2977 Å
α = 99.42°, β = 99.42°, γ = 119.96°
Atoms (fractional coordinates):
Na (0.1665, 0.8335, 0.0000)
Na (0.8335, 0.1665, 0.0000)
Pr (0.5000, 0.5000, 0.0000)
Y (0.0000, 0.0000, 0.5000)
Y (0.3325, 0.6675, 0.5000)
Y (0.6675, 0.3325, 0.5000)
Se (0.0780, 0.4133, 0.7399)
Se (0.2525, 0.2525, 0.2624)
Se (0.4133, 0.0780, 0.7399)
Se (0.5867, 0.9220, 0.2601)
Se (0.7475, 0.7475, 0.7376)
Se (0.9220, 0.5867, 0.2601)

Energy relative to the elements, uncorrected = -1.738 eV/atom
M_tot = 0.0 Bohr magnetons per cell
Space-group type = C2/m, No. 12
Final energy = -5.71 eV/atom

***

Na3Pr2ZrSe6: optimized geometry, GGA-PBE.

a = 7.2003 Å, b = 7.2003 Å, c = 7.4756 Å
α = 99.31°, β = 99.31°, γ = 120.02°
Atoms (fractional coordinates):
Na (0.0000, 0.0000, 0.0000)
Na (0.3298, 0.6702, 0.0000)
Na (0.6702, 0.3298, 0.0000)
Pr (0.1664, 0.8336, 0.5000)
Pr (0.8336, 0.1664, 0.5000)
Zr (0.5000, 0.5000, 0.5000)
Se (0.1101, 0.4214, 0.2651)
Se (0.2679, 0.2679, 0.7331)
Se (0.4214, 0.1101, 0.2651)
Se (0.5786, 0.8899, 0.7349)
Se (0.7321, 0.7321, 0.2669)
Se (0.8899, 0.5786, 0.7349)

Energy relative to the elements, uncorrected = -1.521 eV/atom
M_tot = 0.0 Bohr magnetons per cell
Space-group type = C2/m, No. 12
Final energy = -5.10 eV/atom

***

Na4Pr3ZrSe8: optimized geometry, GGA-PBE.

a = 8.5606 Å, b = 8.5606 Å, c = 8.5606 Å
α = 58.75°, β = 58.75°, γ = 58.75°
Atoms (fractional coordinates):
Na (0.0000, 0.0000, 0.0000)
Na (0.0000, 0.5000, 0.5000)
Na (0.5000, 0.0000, 0.5000)
Na (0.5000, 0.5000, 0.0000)
Pr (0.0000, 0.0000, 0.5000)
Pr (0.0000, 0.5000, 0.0000)
Pr (0.5000, 0.0000, 0.0000)
Zr (0.5000, 0.5000, 0.5000)
Se (0.2480, 0.2480, 0.2480)
Se (0.2652, 0.7334, 0.7334)
Se (0.2666, 0.2666, 0.7348)
Se (0.2666, 0.7348, 0.2666)
Se (0.7334, 0.2652, 0.7334)
Se (0.7334, 0.7334, 0.2652)
Se (0.7348, 0.2666, 0.2666)
Se (0.7520, 0.7520, 0.7520)

Energy relative to the elements, uncorrected = -1.554 eV/atom
M_tot = 0.0 Bohr magnetons per cell
Space-group type = R-3m, No. 166
Final energy = -5.06 eV/atom

***

NaPrSi3: optimized geometry, GGA-PBE.

a = 12.7744 Å, b = 12.7744 Å, c = 3.9493 Å
α = 90.00°, β = 90.00°, γ = 160.13°
Atoms (fractional coordinates):
Na (0.2072, 0.7928, 0.7500)
Na (0.7928, 0.2072, 0.2500)
Pr (0.0703, 0.9297, 0.2500)
Pr (0.9297, 0.0703, 0.7500)
Si (0.3306, 0.6694, 0.7500)
Si (0.3819, 0.6181, 0.2500)
Si (0.4754, 0.5246, 0.2500)
Si (0.5246, 0.4754, 0.7500)
Si (0.6181, 0.3819, 0.7500)
Si (0.6694, 0.3306, 0.2500)

Energy relative to the elements, uncorrected = -0.359 eV/atom
M_tot = 0.0 Bohr magnetons per cell
Space-group type = Cmcm, No. 63
Final energy = -4.83 eV/atom

***

NaPrSi: optimized geometry, GGA-PBE.

a = 4.4566 Å, b = 19.5346 Å, c = 3.8799 Å
α = 90.00°, β = 90.00°, γ = 90.00°
Atoms (fractional coordinates):
Na (0.0000, 0.2042, 0.2500)
Na (0.0000, 0.7958, 0.7500)
Na (0.5000, 0.2958, 0.7500)
Na (0.5000, 0.7042, 0.2500)
Pr (0.0000, 0.4197, 0.2500)
Pr (0.0000, 0.5803, 0.7500)
Pr (0.5000, 0.0803, 0.7500)
Pr (0.5000, 0.9197, 0.2500)
Si (0.0000, 0.0381, 0.2500)
Si (0.0000, 0.9619, 0.7500)
Si (0.5000, 0.4619, 0.7500)
Si (0.5000, 0.5381, 0.2500)

Energy relative to the elements, uncorrected = -0.381 eV/atom
M_tot = 0.0 Bohr magnetons per cell
Space-group type = Cmcm, No. 63
Final energy = -4.22 eV/atom

***

NaPr2Sm: optimized geometry, GGA-PBE.

a = 3.5999 Å, b = 3.5999 Å, c = 11.0333 Å
α = 90.00°, β = 90.00°, γ = 90.00°
Atoms (fractional coordinates):
Na (0.0000, 0.0000, 0.0000)
Pr (0.5000, 0.5000, 0.2659)
Pr (0.5000, 0.5000, 0.7341)
Sm (0.0000, 0.0000, 0.5000)

M_tot = 0.0 Bohr magnetons per cell
Energy above the lowest structure with this stoichiometry = 1 meV per atom
E_form = 0.0879 eV per atom
Space-group type = P4/mmm, No. 123
Final energy = -3.81 eV/atom

***

NaPrSm: optimized geometry, GGA-PBE.

a = 3.6095 Å, b = 3.6095 Å, c = 16.6093 Å
α = 90.00°, β = 90.00°, γ = 90.00°
Atoms (fractional coordinates):
Na (0.2500, 0.2500, 0.0891)
Na (0.7500, 0.7500, 0.9109)
Pr (0.2500, 0.2500, 0.4161)
Pr (0.7500, 0.7500, 0.5839)
Sm (0.2500, 0.2500, 0.7389)
Sm (0.7500, 0.7500, 0.2611)

M_tot = 0.0 Bohr magnetons per cell
Energy above the lowest structure with this stoichiometry = 0 meV per atom
E_form = 0.0780 eV per atom
Space-group type = P4/nmm, No. 129
Final energy = -3.53 eV/atom